First-principles (PBE with a Hubbard U) data for a geometry-optimized P2WSF structure, as listed in Alexandria.

Computed properties:
size of the total moment	2.29	μB per cell
space-group type	P4/mmm, No. 123
electronic total energy	-20.16	eV/cell
ρ	5.7	Mg/m³

abc: 3.979 3.979 5.437
angles: 90.00 90.00 90.00
Each line ends with the local moment (μB).
Element x y z (fractional)
1 P 0.500 0.000 0.000  -0.16
2 F 0.000 0.000 0.000  -0.01
3 W 0.500 0.500 0.500  2.78
4 S 0.000 0.000 0.500  -0.10
5 P 0.000 0.500 0.000  -0.16